La2PrSi2Sn2Pd4: relaxed, GGA-PBE.

Summary:
total energy = -5.82 eV per atom
M_tot = 0.02 μB per formula unit

Cell lengths 4.1795, 4.4487, 26.3501 Å; angles 90.00, 90.00, 90.00 degrees
Space group Immm (No. 71)
Inequivalent atoms, fractional coordinates:
La 0.0000 0.0000 0.1550 [4 per cell]
Pr 0.0000 0.5000 0.0000 [2 per cell]
Si 0.0000 0.0000 0.2983 [4 per cell]
Sn 0.0000 0.5000 0.4460 [4 per cell]
Pd 0.0000 0.0000 0.3899 [4 per cell]
Pd 0.0000 0.5000 0.2499 [4 per cell]

---

AgTeO3: relaxed, GGA-PBE.

Summary:
total energy = -4.74 eV per atom

Cell lengths 5.7190, 8.0101, 5.6195 Å; angles 90.00, 90.00, 90.00 degrees
Space group Pnma (No. 62)
Inequivalent atoms, fractional coordinates:
Ag 0.0252 0.2500 0.0060 [4 per cell]
Te 0.0000 0.0000 0.5000 [4 per cell]
O 0.0187 0.7500 0.4135 [4 per cell]
O 0.2065 0.5450 0.7954 [8 per cell]

---

CsErGeS3: relaxed, GGA-PBE.

Summary:
total energy = -5.09 eV per atom
M_tot = 0.00 μB per formula unit

Cell lengths 8.8741, 3.9283, 11.1528 Å; angles 90.00, 112.17, 90.00 degrees
Space group P2_1/m (No. 11)
Inequivalent atoms, fractional coordinates:
Cs 0.2325 0.2500 0.2732 [2 per cell]
Er 0.3667 0.7500 0.8475 [2 per cell]
Ge 0.1330 0.2500 0.5648 [2 per cell]
S 0.1299 0.2500 0.7732 [2 per cell]
S 0.3219 0.7500 0.5894 [2 per cell]
S 0.4092 0.7500 0.0991 [2 per cell]